1.
Material: AcThRhI
Method: DFT, PBE
State: relaxed

Properties
Space group ... No. 8
Spin magnetization ... 0.000 μB/atom
E_form (uncorrected) ... -0.92 eV per atom

abc: 7.3934 4.2824 8.8713
angles: 90.00 106.22 90.00
Atoms (fractional coordinates):
1 Ac 0.0000 0.0000 0.0000
2 Ac 0.5000 0.5000 0.0000
3 Th 0.2868 0.5000 0.3637
4 Th 0.7868 0.0000 0.3637
5 Rh 0.4022 0.0000 0.2078
6 Rh 0.9022 0.5000 0.2078
7 I 0.2232 0.0000 0.6699
8 I 0.7232 0.5000 0.6699

2.
Material: Dy3AlAs2Rh9
Method: DFT, PBE
State: relaxed

Properties
Space group ... No. 164
Spin magnetization ... 0.000 μB/atom
Calculated formation energy ... -444 meV/atom

abc: 6.2395 6.2395 8.9723
angles: 90.00 90.00 120.00
Atoms (fractional coordinates):
1 Dy 0.0000 0.0000 0.0000
2 Dy 0.3333 0.6667 0.7252
3 Dy 0.6667 0.3333 0.2748
4 Al 0.0000 0.0000 0.5000
5 As 0.3333 0.6667 0.1755
6 As 0.6667 0.3333 0.8245
7 Rh 0.0000 0.5000 0.0000
8 Rh 0.1404 0.2809 0.2767
9 Rh 0.1404 0.8596 0.2767
10 Rh 0.2809 0.1404 0.7233
11 Rh 0.5000 0.0000 0.0000
12 Rh 0.5000 0.5000 0.0000
13 Rh 0.7191 0.8596 0.2767
14 Rh 0.8596 0.1404 0.7233
15 Rh 0.8596 0.7191 0.7233

Number 1: DOS(E_F) 2.72 states/eV/f.u.. Number 2: DOS(E_F) 10.63 states/eV/f.u..